Below is a relaxed RbLi2Pa2O7 crystal, with properties calculated at the GGA-PBE level.

The structure in POSCAR format:
```
RbLi2Pa2O7
1.0
4.379 0.000 -0.001
0.000 4.379 -0.001
-2.191 -2.191 9.196
O Pa Li Rb
7 2 2 1
direct
0.621 0.122 0.243
0.878 0.379 0.757
0.122 0.621 0.243
0.269 0.269 0.538
0.379 0.878 0.757
0.731 0.731 0.462
0.500 0.500 0.000
0.620 0.620 0.240
0.380 0.380 0.760
0.251 0.749 0.500
0.749 0.251 0.500
0.000 0.000 0.000
```

## Properties
Calculated density (g cm⁻³): 6.342
VASP energy (eV/atom): -7.65
Total magnetization (μB per formula unit): 0.00
Uncorrected formation energy (kJ/mol of atoms): -268.2

=====

Below is a relaxed Li2PaReO6 crystal, with properties calculated at the GGA-PBE level.

The structure in POSCAR format:
```
Li2PaReO6
1.0
-1.038 -3.555 -2.199
4.591 0.808 -3.474
3.280 -3.181 3.594
O Pa Li Re
6 1 2 1
direct
0.743 0.766 0.234
0.743 0.234 0.766
0.227 0.000 0.000
0.203 0.500 0.500
0.743 0.766 0.766
0.743 0.234 0.234
0.697 0.500 0.500
0.861 0.000 0.500
0.861 0.500 0.000
0.626 0.000 0.000
```

## Properties
Calculated density (g cm⁻³): 6.013
VASP energy (eV/atom): -7.82
Total magnetization (μB per formula unit): 0.00
Uncorrected formation energy (kJ/mol of atoms): -219.1

=====

Below is a relaxed Li2PaReO8 crystal, with properties calculated at the GGA-PBE level.

The structure in POSCAR format:
```
Li2PaReO8
1.0
4.741 -0.087 -0.003
-0.071 4.742 -0.005
0.004 0.007 6.594
O Pa Re Li
8 1 1 2
direct
0.811 0.189 0.216
0.189 0.811 0.216
0.296 0.295 0.500
0.189 0.811 0.784
0.704 0.705 0.500
0.721 0.721 0.000
0.811 0.189 0.784
0.279 0.279 0.000
0.000 0.000 0.500
0.000 0.000 0.000
0.500 0.500 0.773
0.500 0.500 0.227
```

## Properties
Calculated density (g cm⁻³): 6.265
VASP energy (eV/atom): -7.40
Total magnetization (μB per formula unit): 1.01
Uncorrected formation energy (kJ/mol of atoms): -187.8

=====

Below is a relaxed LiPaRh2O8 crystal, with properties calculated at the GGA-PBE level.

The structure in POSCAR format:
```
LiPaRh2O8
1.0
-2.710 -4.245 0.023
2.685 1.251 -4.073
4.383 -2.787 2.033
O Pa Rh Li
8 1 2 1
direct
0.667 0.333 0.423
0.950 0.658 0.817
0.293 0.950 0.183
0.707 0.050 0.817
0.658 0.707 0.183
0.050 0.342 0.183
0.342 0.293 0.817
0.333 0.667 0.577
0.000 0.000 0.500
0.667 0.333 0.057
0.333 0.667 0.943
0.000 0.000 0.000
```

## Properties
Calculated density (g cm⁻³): 7.750
VASP energy (eV/atom): -6.53
Total magnetization (μB per formula unit): 0.00
Uncorrected formation energy (kJ/mol of atoms): -101.5

=====

Below is a relaxed Li3PaRh4O12 crystal, with properties calculated at the GGA-PBE level.

The structure in POSCAR format:
```
Li3PaRh4O12
1.0
-0.110 -5.440 3.605
3.610 -1.004 -5.344
2.588 4.870 3.490
O Rh Li Pa
12 4 3 1
direct
0.880 0.713 0.167
0.287 0.167 0.454
0.167 0.880 0.713
0.713 0.833 0.546
0.167 0.454 0.287
0.120 0.287 0.833
0.833 0.120 0.287
0.713 0.167 0.880
0.546 0.713 0.833
0.833 0.546 0.713
0.287 0.833 0.120
0.454 0.287 0.167
0.500 0.000 0.000
0.000 0.000 0.500
0.500 0.500 0.500
0.000 0.500 0.000
0.000 0.500 0.500
0.500 0.000 0.500
0.500 0.500 0.000
0.000 0.000 0.000
```

## Properties
Calculated density (g cm⁻³): 6.637
VASP energy (eV/atom): -6.62
Total magnetization (μB per formula unit): 3.68
Uncorrected formation energy (kJ/mol of atoms): -136.7

=====

Below is a relaxed LiPaRhO6 crystal, with properties calculated at the GGA-PBE level.

The structure in POSCAR format:
```
LiPaRhO6
1.0
-0.045 2.060 5.079
-0.089 -5.428 -0.757
8.938 -0.167 0.147
O Pa Rh Li
12 2 2 2
direct
0.656 0.631 0.132
0.025 0.656 0.868
0.369 0.025 0.132
0.025 0.369 0.632
0.631 0.975 0.868
0.656 0.025 0.368
0.344 0.369 0.868
0.975 0.631 0.368
0.631 0.656 0.632
0.369 0.344 0.368
0.975 0.344 0.132
0.344 0.975 0.632
0.333 0.667 0.250
0.667 0.333 0.750
0.667 0.333 0.250
0.333 0.667 0.750
0.000 0.000 0.000
0.000 0.000 0.500
```

## Properties
Calculated density (g cm⁻³): 6.237
VASP energy (eV/atom): -7.19
Total magnetization (μB per formula unit): 0.00
Uncorrected formation energy (kJ/mol of atoms): -173.3

=====

Below is a relaxed Li2PaRhO6 crystal, with properties calculated at the GGA-PBE level.

The structure in POSCAR format:
```
Li2PaRhO6
1.0
-1.390 3.290 -3.950
-4.940 -0.159 -1.983
-3.502 4.307 1.230
O Pa Li Rh
6 1 2 1
direct
0.571 0.212 0.265
0.104 0.418 0.783
0.212 0.952 0.265
0.695 0.104 0.783
0.418 0.695 0.783
0.952 0.571 0.265
0.817 0.817 0.548
0.032 0.033 0.903
0.538 0.538 0.386
0.321 0.321 0.036
```

## Properties
Calculated density (g cm⁻³): 6.274
VASP energy (eV/atom): -7.07
Total magnetization (μB per formula unit): 2.04
Uncorrected formation energy (kJ/mol of atoms): -195.3

=====

Below is a relaxed LiPaRhO5 crystal, with properties calculated at the GGA-PBE level.

The structure in POSCAR format:
```
LiPaRhO5
1.0
5.568 -0.213 0.052
-1.829 5.263 0.052
-1.494 -2.019 6.367
Pa Li O Rh
2 2 10 2
direct
0.634 0.366 0.750
0.366 0.634 0.250
0.308 0.692 0.750
0.692 0.308 0.250
0.615 0.721 0.955
0.721 0.615 0.455
0.385 0.279 0.045
0.898 0.102 0.750
0.340 0.963 0.631
0.279 0.385 0.545
0.660 0.037 0.369
0.037 0.660 0.869
0.102 0.898 0.250
0.963 0.340 0.131
0.000 0.000 0.000
0.000 0.000 0.500
```

## Properties
Calculated density (g cm⁻³): 7.542
VASP energy (eV/atom): -7.55
Total magnetization (μB per formula unit): 0.47
Uncorrected formation energy (kJ/mol of atoms): -203.6

=====

Below is a relaxed Li2PaRhO4 crystal, with properties calculated at the GGA-PBE level.

The structure in POSCAR format:
```
Li2PaRhO4
1.0
-4.387 0.381 -1.469
-1.307 -3.231 3.065
2.154 4.400 2.042
O Rh Li Pa
4 1 2 1
direct
0.489 0.989 0.979
0.245 0.245 0.490
0.011 0.511 0.021
0.755 0.755 0.510
0.750 0.250 0.500
0.000 0.000 0.000
0.250 0.750 0.500
0.500 0.500 0.000
```

## Properties
Calculated density (g cm⁻³): 7.609
VASP energy (eV/atom): -7.24
Total magnetization (μB per formula unit): 0.42
Uncorrected formation energy (kJ/mol of atoms): -209.6

=====

Below is a relaxed LiPaRuO6 crystal, with properties calculated at the GGA-PBE level.

The structure in POSCAR format:
```
LiPaRuO6
1.0
4.873 0.000 0.000
0.000 4.873 0.000
0.000 0.000 9.644
O Pa Ru Li
12 2 2 2
direct
0.778 0.222 0.837
0.807 0.193 0.485
0.193 0.807 0.485
0.278 0.278 0.337
0.189 0.811 0.184
0.722 0.722 0.337
0.811 0.189 0.184
0.689 0.689 0.684
0.307 0.307 0.985
0.222 0.778 0.837
0.693 0.693 0.985
0.311 0.311 0.684
0.500 0.500 0.499
0.000 0.000 0.999
0.500 0.500 0.832
0.000 0.000 0.332
0.500 0.500 0.158
0.000 0.000 0.658
```

## Properties
Calculated density (g cm⁻³): 6.309
VASP energy (eV/atom): -7.61
Total magnetization (μB per formula unit): 2.02
Uncorrected formation energy (kJ/mol of atoms): -193.7

=====

Below is a relaxed Li2PaRuO6 crystal, with properties calculated at the GGA-PBE level.

The structure in POSCAR format:
```
Li2PaRuO6
1.0
-4.521 -1.012 2.390
-2.223 -4.689 -0.503
0.262 -3.526 4.688
Pa O Li Ru
1 6 2 1
direct
0.816 0.816 0.552
0.209 0.948 0.275
0.685 0.064 0.828
0.064 0.423 0.828
0.948 0.568 0.275
0.568 0.209 0.275
0.423 0.685 0.828
0.019 0.020 0.941
0.613 0.613 0.162
0.316 0.316 0.052
```

## Properties
Calculated density (g cm⁻³): 6.186
VASP energy (eV/atom): -7.42
Total magnetization (μB per formula unit): 3.01
Uncorrected formation energy (kJ/mol of atoms): -210.4

=====

Below is a relaxed Li2PaRuO8 crystal, with properties calculated at the GGA-PBE level.

The structure in POSCAR format:
```
Li2PaRuO8
1.0
-3.310 2.930 -1.649
-3.120 -3.473 0.645
-1.120 2.126 6.026
Pa O Ru Li
1 8 1 2
direct
0.000 0.000 0.500
0.189 0.810 0.221
0.301 0.300 0.500
0.699 0.700 0.500
0.189 0.810 0.779
0.811 0.190 0.221
0.277 0.276 0.000
0.723 0.724 0.000
0.811 0.190 0.779
0.000 0.000 0.000
0.500 0.500 0.761
0.500 0.500 0.239
```

## Properties
Calculated density (g cm⁻³): 5.461
VASP energy (eV/atom): -6.83
Total magnetization (μB per formula unit): 0.00
Uncorrected formation energy (kJ/mol of atoms): -158.0

=====

Below is a relaxed LiPaSO5 crystal, with properties calculated at the GGA-PBE level.

The structure in POSCAR format:
```
LiPaSO5
1.0
-0.375 -4.470 -3.683
0.398 -2.964 4.974
-6.711 4.784 -0.232
S O Pa Li
2 10 2 2
direct
0.322 0.678 0.750
0.678 0.322 0.250
0.884 0.372 0.065
0.372 0.884 0.565
0.763 0.610 0.385
0.610 0.763 0.885
0.951 0.049 0.750
0.390 0.237 0.115
0.237 0.390 0.615
0.049 0.951 0.250
0.116 0.628 0.935
0.628 0.116 0.435
0.267 0.733 0.250
0.733 0.267 0.750
0.000 0.000 0.000
0.000 0.000 0.500
```

## Properties
Calculated density (g cm⁻³): 5.197
VASP energy (eV/atom): -7.23
Total magnetization (μB per formula unit): 0.00
Uncorrected formation energy (kJ/mol of atoms): -211.5

=====

Below is a relaxed LiPaS2O8 crystal, with properties calculated at the GGA-PBE level.

The structure in POSCAR format:
```
LiPaS2O8
1.0
-3.868 -3.296 0.865
3.207 -0.773 -3.960
4.125 -3.771 4.077
O S Pa Li
8 2 1 1
direct
0.649 0.825 0.792
0.667 0.333 0.493
0.175 0.351 0.792
0.175 0.825 0.792
0.825 0.175 0.208
0.333 0.667 0.507
0.825 0.649 0.208
0.351 0.175 0.208
0.667 0.333 0.274
0.333 0.667 0.726
0.000 0.000 0.500
0.000 0.000 0.000
```

## Properties
Calculated density (g cm⁻³): 4.487
VASP energy (eV/atom): -6.76
Total magnetization (μB per formula unit): 2.00
Uncorrected formation energy (kJ/mol of atoms): -175.3

=====

Below is a relaxed Li2PaSbO6 crystal, with properties calculated at the GGA-PBE level.

The structure in POSCAR format:
```
Li2PaSbO6
1.0
-0.840 -4.288 -2.991
3.119 -0.974 -4.167
3.854 -4.408 0.551
O Pa Li Sb
6 1 2 1
direct
0.688 0.064 0.825
0.423 0.688 0.825
0.568 0.209 0.278
0.209 0.944 0.278
0.944 0.568 0.278
0.064 0.423 0.825
0.816 0.816 0.551
0.607 0.607 0.179
0.026 0.026 0.924
0.316 0.316 0.052
```

## Properties
Calculated density (g cm⁻³): 6.298
VASP energy (eV/atom): -7.15
Total magnetization (μB per formula unit): 0.00
Uncorrected formation energy (kJ/mol of atoms): -234.4

=====

Below is a relaxed LiPaSbO crystal, with properties calculated at the GGA-PBE level.

The structure in POSCAR format:
```
LiPaSbO
1.0
4.001 0.000 0.000
0.000 4.001 0.000
0.000 0.000 9.562
Sb Pa Li O
2 2 2 2
direct
0.000 0.500 0.302
0.500 0.000 0.698
0.000 0.500 0.867
0.500 0.000 0.133
0.000 0.000 0.500
0.500 0.500 0.500
0.500 0.500 0.000
0.000 0.000 0.000
```

## Properties
Calculated density (g cm⁻³): 8.152
VASP energy (eV/atom): -6.82
Total magnetization (μB per formula unit): 1.01
Uncorrected formation energy (kJ/mol of atoms): -163.9

=====

Below is a relaxed Li2PaSbO8 crystal, with properties calculated at the GGA-PBE level.

The structure in POSCAR format:
```
Li2PaSbO8
1.0
5.757 0.788 0.000
-1.847 5.509 0.000
-1.955 -3.148 4.475
Pa O Li Sb
1 8 2 1
direct
0.000 0.000 0.000
0.359 0.041 0.318
0.294 0.488 0.194
0.512 0.706 0.806
0.723 0.041 0.682
0.294 0.100 0.806
0.900 0.706 0.194
0.959 0.641 0.682
0.959 0.277 0.318
0.750 0.250 0.500
0.500 0.500 0.000
0.250 0.750 0.500
```

## Properties
Calculated density (g cm⁻³): 5.534
VASP energy (eV/atom): -6.29
Total magnetization (μB per formula unit): 1.51
Uncorrected formation energy (kJ/mol of atoms): -147.3

=====

Below is a relaxed LiPa2SbO8 crystal, with properties calculated at the GGA-PBE level.

The structure in POSCAR format:
```
LiPa2SbO8
1.0
4.850 -0.071 -0.003
-0.042 4.850 -0.005
0.004 0.007 7.115
Pa O Li Sb
2 8 1 1
direct
0.500 0.500 0.256
0.500 0.500 0.744
0.311 0.311 0.500
0.194 0.806 0.790
0.194 0.807 0.210
0.689 0.689 0.500
0.806 0.193 0.790
0.701 0.701 0.000
0.806 0.194 0.210
0.299 0.299 0.000
0.000 0.000 0.500
0.000 0.000 0.000
```

## Properties
Calculated density (g cm⁻³): 7.132
VASP energy (eV/atom): -8.13
Total magnetization (μB per formula unit): 0.00
Uncorrected formation energy (kJ/mol of atoms): -264.1

=====

Below is a relaxed LiPaSbO6 crystal, with properties calculated at the GGA-PBE level.

The structure in POSCAR format:
```
LiPaSbO6
1.0
5.243 0.000 0.000
-2.621 4.540 0.000
0.000 0.000 9.623
Sb Pa O Li
2 2 12 2
direct
0.333 0.667 0.750
0.667 0.333 0.250
0.000 0.000 0.500
0.000 0.000 0.000
0.978 0.651 0.368
0.672 0.651 0.132
0.328 0.349 0.868
0.978 0.328 0.132
0.349 0.328 0.368
0.672 0.022 0.368
0.651 0.978 0.868
0.349 0.022 0.132
0.328 0.978 0.632
0.651 0.672 0.632
0.022 0.349 0.632
0.022 0.672 0.868
0.333 0.667 0.250
0.667 0.333 0.750
```

## Properties
Calculated density (g cm⁻³): 6.608
VASP energy (eV/atom): -7.22
Total magnetization (μB per formula unit): 0.74
Uncorrected formation energy (kJ/mol of atoms): -211.1

=====

Below is a relaxed LiSc2PaO6 crystal, with properties calculated at the GGA-PBE level.

The structure in POSCAR format:
```
LiSc2PaO6
1.0
-5.366 -1.243 0.746
-3.312 -0.770 -4.398
-1.802 -5.378 -1.215
O Li Pa Sc
6 1 1 2
direct
0.716 0.148 0.757
0.897 0.629 0.238
0.629 0.236 0.239
0.236 0.897 0.238
0.148 0.378 0.757
0.378 0.716 0.757
0.807 0.807 0.578
0.309 0.309 0.074
0.019 0.019 0.942
0.522 0.522 0.434
```

## Properties
Calculated density (g cm⁻³): 5.444
VASP energy (eV/atom): -8.64
Total magnetization (μB per formula unit): 0.00
Uncorrected formation energy (kJ/mol of atoms): -314.6